DFT (PBE) results for crystalline CaSe2BrO at its relaxed geometry.

```
CaSe2BrO
1.0
-0.8317 -2.4821 -3.3116
-1.7939 -2.8278 2.5700
-5.3793 2.7602 -0.7178
Se O Br Ca
2 1 1 1
Direct
0.5000 0.0000 0.0000
0.0000 0.5000 0.0000
0.0000 0.0000 0.0000
0.0000 0.0000 0.5000
0.5000 0.5000 0.5000
```

ΔE_f (raw) ... -3.27 eV/f.u.
Density ... 4.498 Mg/m³
Excess energy over the best structure of this formula in the dataset ... 0 kJ/mol of formula units
E ... -3.774 eV per atom
Fermi-level density of states ... 2.61 states/eV per cell

=====

DFT (PBE) results for crystalline CaSn2BrO at its relaxed geometry.

```
CaSn2BrO
1.0
-2.9319 2.8764 1.8962
-4.4748 -4.9794 0.6345
1.6755 -0.9852 4.0850
Ca Sn O Br
1 2 1 1
Direct
0.5000 0.5000 0.5000
0.5000 0.0000 0.0000
0.0000 0.0000 0.5000
0.0000 0.0000 0.0000
0.0000 0.5000 0.0000
```

ΔE_f (raw) ... -3.31 eV/f.u.
Density ... 4.506 Mg/m³
E ... -3.991 eV per atom
Fermi-level density of states ... 2.52 states/eV per cell

=====

DFT (PBE) results for crystalline Ca2SnBr2O2 at its relaxed geometry.

```
Ca2SnBr2O2
1.0
4.4737 0.0000 0.0000
0.0000 4.4737 0.0000
-2.2369 -2.2369 7.7826
Ca Br O Sn
2 2 2 1
Direct
0.3962 0.3962 0.7924
0.6038 0.6038 0.2076
0.8038 0.8038 0.6075
0.1962 0.1962 0.3925
0.5000 0.0000 0.0000
0.0000 0.5000 0.0000
0.0000 0.0000 0.0000
```

ΔE_f (raw) ... -11.63 eV/f.u.
Density ... 4.165 Mg/m³
E ... -4.700 eV per atom
Fermi-level density of states ... 1.60 states/eV per cell

=====

DFT (PBE) results for crystalline Sr2CaBr2O2 at its relaxed geometry.

```
Sr2CaBr2O2
1.0
-3.8338 1.0364 2.0109
0.1418 -3.8391 2.2488
5.9109 5.0035 3.7632
Br Ca O Sr
2 1 2 2
Direct
0.1843 0.1843 0.3686
0.8157 0.8157 0.6314
0.0000 0.0000 0.0000
0.5000 0.0000 0.0000
0.0000 0.5000 0.0000
0.6014 0.6014 0.2028
0.3986 0.3986 0.7972
```

ΔE_f (raw) ... -17.17 eV/f.u.
Density ... 4.257 Mg/m³
E ... -5.113 eV per atom
Fermi-level density of states ... 0.00 states/eV per cell

=====

DFT (PBE) results for crystalline CaTcBrO4 at its relaxed geometry.

```
CaTcBrO4
1.0
6.5099 0.0489 0.6663
2.2025 6.1262 0.6663
2.4462 1.7338 8.5403
O Ca Br Tc
8 2 2 2
Direct
0.4301 0.4301 0.7749
0.4703 0.8495 0.7722
0.5297 0.1505 0.2278
0.5699 0.5699 0.2251
0.1505 0.5297 0.2278
0.3108 0.3108 0.5142
0.8495 0.4703 0.7722
0.6892 0.6892 0.4858
0.8039 0.8039 0.1922
0.1961 0.1961 0.8078
0.9154 0.9154 0.8436
0.0846 0.0846 0.1564
0.6098 0.6098 0.7007
0.3902 0.3902 0.2993
```

ΔE_f (raw) ... -12.90 eV/f.u.
Density ... 2.883 Mg/m³
E ... -6.682 eV per atom
Fermi-level density of states ... 0.00 states/eV per cell

=====

DFT (PBE) results for crystalline CaTlBrO2 at its relaxed geometry.

```
CaTlBrO2
1.0
4.2828 0.0000 0.0000
0.0000 6.6971 -0.0680
0.0000 -0.2851 8.1584
O Ca Br Tl
4 2 2 2
Direct
0.2500 0.9277 0.1149
0.7500 0.0723 0.8851
0.7500 0.9578 0.3841
0.2500 0.0422 0.6159
0.7500 0.1855 0.6052
0.2500 0.8145 0.3948
0.2500 0.5354 0.7082
0.7500 0.4646 0.2918
0.7500 0.0732 0.1479
0.2500 0.9268 0.8521
```

ΔE_f (raw) ... -7.74 eV/f.u.
Density ... 5.059 Mg/m³
E ... -4.740 eV per atom

=====

DFT (PBE) results for crystalline CaY2BrO at its relaxed geometry.

```
CaY2BrO
1.0
-1.9414 -4.2931 -2.3809
4.4806 -0.3517 -3.0193
2.2393 -3.0529 3.6788
O Y Ca Br
1 2 1 1
Direct
0.5000 0.5000 0.5000
0.0000 0.0000 0.5000
0.5000 0.0000 0.0000
0.0000 0.5000 0.0000
0.0000 0.0000 0.0000
```

ΔE_f (raw) ... 1.29 eV/f.u.
Density ... 3.453 Mg/m³
E ... -4.053 eV per atom
Fermi-level density of states ... 7.61 states/eV per cell

=====

DFT (PBE) results for crystalline CaZr2BrO at its relaxed geometry.

```
CaZr2BrO
1.0
4.2936 0.0000 0.0000
0.0000 6.5581 0.0000
0.0000 0.0000 4.2936
Ca Br Zr O
1 1 2 1
Direct
0.5000 0.5000 0.5000
0.0000 0.5000 0.0000
0.0000 0.0000 0.5000
0.5000 0.0000 0.0000
0.0000 0.0000 0.0000
```

ΔE_f (raw) ... -5.27 eV/f.u.
Density ... 4.374 Mg/m³
E ... -6.199 eV per atom
Fermi-level density of states ... 5.56 states/eV per cell

=====

Question: Among the records above, which one has the highest ΔE_f (raw)?
Answer: CaY2BrO

=====

Question: Number 7 is which compound?
Answer: CaY2BrO